# Pa3AlGa, relaxed, DFT PBE
# Space-group type = P2_13, No. 198
# Formation energy = -57 kJ/mol of formula units
data_Pa3AlGa
_space_group_name_H-M_alt 'P 1'
_space_group_IT_number 1
_cell_length_a 7.592
_cell_length_b 7.592
_cell_length_c 7.592
_cell_angle_alpha 90.00
_cell_angle_beta 90.00
_cell_angle_gamma 90.00
loop_
_space_group_symop_operation_xyz
'x,y,z'
loop_
_atom_site_label
_atom_site_fract_x
_atom_site_fract_y
_atom_site_fract_z
Pa1 0.127 0.210 0.459
Pa2 0.373 0.790 0.959
Pa3 0.873 0.710 0.041
Pa4 0.459 0.127 0.210
Pa5 0.627 0.290 0.541
Pa6 0.959 0.373 0.790
Pa7 0.041 0.873 0.710
Pa8 0.541 0.627 0.290
Pa9 0.210 0.459 0.127
Pa10 0.710 0.041 0.873
Pa11 0.290 0.541 0.627
Pa12 0.790 0.959 0.373
Al1 0.680 0.680 0.680
Al2 0.820 0.320 0.180
Al3 0.320 0.180 0.820
Al4 0.180 0.820 0.320
Ga1 0.069 0.069 0.069
Ga2 0.431 0.931 0.569
Ga3 0.931 0.569 0.431
Ga4 0.569 0.431 0.931

=====

# PaAlGa2, relaxed, DFT PBE
# Space-group type = Fm-3m, No. 225
# Formation energy = -46 kJ/mol of formula units
data_PaAlGa2
_space_group_name_H-M_alt 'P 1'
_space_group_IT_number 1
_cell_length_a 4.794
_cell_length_b 4.794
_cell_length_c 4.794
_cell_angle_alpha 60.00
_cell_angle_beta 60.00
_cell_angle_gamma 60.00
loop_
_space_group_symop_operation_xyz
'x,y,z'
loop_
_atom_site_label
_atom_site_fract_x
_atom_site_fract_y
_atom_site_fract_z
Pa1 0.000 0.000 0.000
Al1 0.500 0.500 0.500
Ga1 0.250 0.250 0.250
Ga2 0.750 0.750 0.750

=====

# Pa2AlGa, relaxed, DFT PBE
# Space-group type = P4/mmm, No. 123
# Formation energy = -35 kJ/mol of formula units
# Offset from the most stable computed form = 0.120 eV per atom
data_Pa2AlGa
_space_group_name_H-M_alt 'P 1'
_space_group_IT_number 1
_cell_length_a 3.857
_cell_length_b 3.857
_cell_length_c 6.020
_cell_angle_alpha 90.00
_cell_angle_beta 90.00
_cell_angle_gamma 90.00
loop_
_space_group_symop_operation_xyz
'x,y,z'
loop_
_atom_site_label
_atom_site_fract_x
_atom_site_fract_y
_atom_site_fract_z
Pa1 0.000 0.000 0.752
Pa2 0.000 0.000 0.248
Al1 0.500 0.500 0.500
Ga1 0.500 0.500 0.000

=====

# Pa2Al9Ga, relaxed, DFT PBE
# Space-group type = P4/mmm, No. 123
# Formation energy = -136 kJ/mol of formula units
data_Pa2Al9Ga
_space_group_name_H-M_alt 'P 1'
_space_group_IT_number 1
_cell_length_a 4.237
_cell_length_b 4.237
_cell_length_c 12.774
_cell_angle_alpha 90.00
_cell_angle_beta 90.00
_cell_angle_gamma 90.00
loop_
_space_group_symop_operation_xyz
'x,y,z'
loop_
_atom_site_label
_atom_site_fract_x
_atom_site_fract_y
_atom_site_fract_z
Pa1 0.000 0.000 0.332
Pa2 0.000 0.000 0.668
Al1 0.500 0.500 0.000
Al2 0.500 0.500 0.334
Al3 0.500 0.500 0.666
Al4 0.500 0.000 0.157
Al5 0.500 0.000 0.500
Al6 0.500 0.000 0.843
Al7 0.000 0.500 0.157
Al8 0.000 0.500 0.500
Al9 0.000 0.500 0.843
Ga1 0.000 0.000 0.000

=====

# PaAlGa2, relaxed, DFT PBE
# Space-group type = P4/mmm, No. 123
# Formation energy = -126 kJ/mol of formula units
data_PaAlGa2
_space_group_name_H-M_alt 'P 1'
_space_group_IT_number 1
_cell_length_a 4.239
_cell_length_b 4.331
_cell_length_c 4.331
_cell_angle_alpha 90.00
_cell_angle_beta 90.00
_cell_angle_gamma 90.00
loop_
_space_group_symop_operation_xyz
'x,y,z'
loop_
_atom_site_label
_atom_site_fract_x
_atom_site_fract_y
_atom_site_fract_z
Pa1 0.500 0.500 0.500
Al1 0.500 0.000 0.000
Ga1 0.000 0.000 0.500
Ga2 0.000 0.500 0.000

=====

# Pa2AlGa, relaxed, DFT PBE
# Space-group type = P4/mmm, No. 123
# Formation energy = -81 kJ/mol of formula units
# Offset from the most stable computed form = 0.000 eV per atom
data_Pa2AlGa
_space_group_name_H-M_alt 'P 1'
_space_group_IT_number 1
_cell_length_a 4.439
_cell_length_b 4.382
_cell_length_c 4.382
_cell_angle_alpha 90.00
_cell_angle_beta 90.00
_cell_angle_gamma 90.00
loop_
_space_group_symop_operation_xyz
'x,y,z'
loop_
_atom_site_label
_atom_site_fract_x
_atom_site_fract_y
_atom_site_fract_z
Pa1 0.000 0.000 0.500
Pa2 0.000 0.500 0.000
Al1 0.500 0.000 0.000
Ga1 0.500 0.500 0.500

=====

# Pa4AlGa3, relaxed, DFT PBE
# Space-group type = Pmm2, No. 25
# Formation energy = -149 kJ/mol of formula units
data_Pa4AlGa3
_space_group_name_H-M_alt 'P 1'
_space_group_IT_number 1
_cell_length_a 3.262
_cell_length_b 4.501
_cell_length_c 11.744
_cell_angle_alpha 90.00
_cell_angle_beta 90.00
_cell_angle_gamma 90.00
loop_
_space_group_symop_operation_xyz
'x,y,z'
loop_
_atom_site_label
_atom_site_fract_x
_atom_site_fract_y
_atom_site_fract_z
Pa1 0.500 0.500 0.327
Pa2 0.000 0.500 0.827
Pa3 0.000 0.000 0.173
Pa4 0.500 0.000 0.672
Al1 0.500 0.500 0.061
Ga1 0.000 0.500 0.562
Ga2 0.000 0.000 0.438
Ga3 0.500 0.000 0.939

=====

# Pa2AlGa3, relaxed, DFT PBE
# Space-group type = Pmma, No. 51
# Formation energy = -83 kJ/mol of formula units
# Offset from the most stable computed form = 0.173 eV per atom
data_Pa2AlGa3
_space_group_name_H-M_alt 'P 1'
_space_group_IT_number 1
_cell_length_a 5.238
_cell_length_b 5.787
_cell_length_c 7.994
_cell_angle_alpha 90.00
_cell_angle_beta 90.00
_cell_angle_gamma 90.00
loop_
_space_group_symop_operation_xyz
'x,y,z'
loop_
_atom_site_label
_atom_site_fract_x
_atom_site_fract_y
_atom_site_fract_z
Pa1 0.250 0.500 0.086
Pa2 0.250 0.000 0.373
Pa3 0.750 0.000 0.627
Pa4 0.750 0.500 0.914
Al1 0.750 0.500 0.545
Al2 0.250 0.500 0.455
Ga1 0.000 0.000 0.000
Ga2 0.500 0.000 0.000
Ga3 0.750 0.254 0.260
Ga4 0.750 0.746 0.260
Ga5 0.250 0.254 0.740
Ga6 0.250 0.746 0.740

=====

# PaAl4Ga, relaxed, DFT PBE
# Space-group type = F-43m, No. 216
# Formation energy = -24 kJ/mol of formula units
# Offset from the most stable computed form = 0.098 eV per atom
data_PaAl4Ga
_space_group_name_H-M_alt 'P 1'
_space_group_IT_number 1
_cell_length_a 5.451
_cell_length_b 5.451
_cell_length_c 5.451
_cell_angle_alpha 60.00
_cell_angle_beta 60.00
_cell_angle_gamma 60.00
loop_
_space_group_symop_operation_xyz
'x,y,z'
loop_
_atom_site_label
_atom_site_fract_x
_atom_site_fract_y
_atom_site_fract_z
Pa1 0.250 0.250 0.250
Al1 0.625 0.625 0.125
Al2 0.625 0.125 0.625
Al3 0.625 0.625 0.625
Al4 0.125 0.625 0.625
Ga1 0.000 0.000 0.000

=====

# PaAl2Ga2, relaxed, DFT PBE
# Space-group type = P6_3/mmc, No. 194
# Formation energy = 94 kJ/mol of formula units
# Offset from the most stable computed form = 0.000 eV per atom
data_PaAl2Ga2
_space_group_name_H-M_alt 'P 1'
_space_group_IT_number 1
_cell_length_a 4.689
_cell_length_b 4.689
_cell_length_c 11.634
_cell_angle_alpha 90.00
_cell_angle_beta 90.00
_cell_angle_gamma 120.00
loop_
_space_group_symop_operation_xyz
'x,y,z'
loop_
_atom_site_label
_atom_site_fract_x
_atom_site_fract_y
_atom_site_fract_z
Pa1 0.000 0.000 0.250
Pa2 0.000 0.000 0.750
Al1 0.333 0.667 0.607
Al2 0.667 0.333 0.107
Al3 0.667 0.333 0.393
Al4 0.333 0.667 0.893
Ga1 0.667 0.333 0.750
Ga2 0.000 0.000 0.000
Ga3 0.000 0.000 0.500
Ga4 0.333 0.667 0.250

=====

# Pa2Al3Ga4, relaxed, DFT PBE
# Space-group type = Cmce, No. 64
# Formation energy = -249 kJ/mol of formula units
data_Pa2Al3Ga4
_space_group_name_H-M_alt 'P 1'
_space_group_IT_number 1
_cell_length_a 5.830
_cell_length_b 7.839
_cell_length_c 8.037
_cell_angle_alpha 90.00
_cell_angle_beta 111.27
_cell_angle_gamma 90.00
loop_
_space_group_symop_operation_xyz
'x,y,z'
loop_
_atom_site_label
_atom_site_fract_x
_atom_site_fract_y
_atom_site_fract_z
Pa1 0.112 0.589 0.223
Pa2 0.888 0.411 0.777
Pa3 0.388 0.089 0.777
Pa4 0.612 0.911 0.223
Al1 0.000 0.000 0.000
Al2 0.500 0.500 0.000
Al3 0.530 0.750 0.561
Al4 0.970 0.250 0.439
Al5 0.470 0.250 0.439
Al6 0.030 0.750 0.561
Ga1 0.700 0.750 0.900
Ga2 0.800 0.250 0.100
Ga3 0.300 0.250 0.100
Ga4 0.200 0.750 0.900
Ga5 0.181 0.961 0.362
Ga6 0.819 0.039 0.638
Ga7 0.319 0.461 0.638
Ga8 0.681 0.539 0.362

=====

# PaAl6Ga, relaxed, DFT PBE
# Space-group type = Cmmm, No. 65
# Formation energy = -43 kJ/mol of formula units
data_PaAl6Ga
_space_group_name_H-M_alt 'P 1'
_space_group_IT_number 1
_cell_length_a 4.640
_cell_length_b 5.954
_cell_length_c 5.954
_cell_angle_alpha 113.83
_cell_angle_beta 90.00
_cell_angle_gamma 90.00
loop_
_space_group_symop_operation_xyz
'x,y,z'
loop_
_atom_site_label
_atom_site_fract_x
_atom_site_fract_y
_atom_site_fract_z
Pa1 0.500 0.500 0.500
Al1 0.000 0.715 0.285
Al2 0.000 0.285 0.715
Al3 0.000 0.797 0.797
Al4 0.000 0.203 0.203
Al5 0.500 0.500 0.000
Al6 0.500 0.000 0.500
Ga1 0.500 0.000 0.000

=====

# Pa2Al2Ga, relaxed, DFT PBE
# Space-group type = Cmmm, No. 65
# Formation energy = -116 kJ/mol of formula units
# Offset from the most stable computed form = 0.000 eV per atom
data_Pa2Al2Ga
_space_group_name_H-M_alt 'P 1'
_space_group_IT_number 1
_cell_length_a 3.054
_cell_length_b 4.604
_cell_length_c 7.631
_cell_angle_alpha 107.54
_cell_angle_beta 90.00
_cell_angle_gamma 90.00
loop_
_space_group_symop_operation_xyz
'x,y,z'
loop_
_atom_site_label
_atom_site_fract_x
_atom_site_fract_y
_atom_site_fract_z
Pa1 0.500 0.392 0.783
Pa2 0.500 0.608 0.217
Al1 0.000 0.796 0.592
Al2 0.000 0.204 0.408
Ga1 0.000 0.000 0.000

=====

# Pa12AlGa6, relaxed, DFT PBE
# Space-group type = R-3m, No. 166
# Formation energy = 426 kJ/mol of formula units
data_Pa12AlGa6
_space_group_name_H-M_alt 'P 1'
_space_group_IT_number 1
_cell_length_a 8.123
_cell_length_b 8.123
_cell_length_c 8.123
_cell_angle_alpha 105.40
_cell_angle_beta 105.40
_cell_angle_gamma 105.40
loop_
_space_group_symop_operation_xyz
'x,y,z'
loop_
_atom_site_label
_atom_site_fract_x
_atom_site_fract_y
_atom_site_fract_z
Pa1 0.895 0.105 0.500
Pa2 0.874 0.631 0.631
Pa3 0.631 0.631 0.874
Pa4 0.369 0.126 0.369
Pa5 0.369 0.369 0.126
Pa6 0.126 0.369 0.369
Pa7 0.105 0.500 0.895
Pa8 0.500 0.895 0.105
Pa9 0.105 0.895 0.500
Pa10 0.895 0.500 0.105
Pa11 0.500 0.105 0.895
Pa12 0.631 0.874 0.631
Al1 0.000 0.000 0.000
Ga1 0.710 0.296 0.296
Ga2 0.296 0.296 0.710
Ga3 0.296 0.710 0.296
Ga4 0.704 0.704 0.290
Ga5 0.290 0.704 0.704
Ga6 0.704 0.290 0.704

=====

# Pa4Al7Ga6, relaxed, DFT PBE
# Space-group type = Im-3m, No. 229
# Formation energy = -507 kJ/mol of formula units
data_Pa4Al7Ga6
_space_group_name_H-M_alt 'P 1'
_space_group_IT_number 1
_cell_length_a 7.525
_cell_length_b 7.525
_cell_length_c 7.525
_cell_angle_alpha 109.47
_cell_angle_beta 109.47
_cell_angle_gamma 109.47
loop_
_space_group_symop_operation_xyz
'x,y,z'
loop_
_atom_site_label
_atom_site_fract_x
_atom_site_fract_y
_atom_site_fract_z
Pa1 0.500 0.000 0.000
Pa2 0.500 0.500 0.500
Pa3 0.000 0.500 0.000
Pa4 0.000 0.000 0.500
Al1 0.750 0.500 0.250
Al2 0.250 0.750 0.500
Al3 0.500 0.750 0.250
Al4 0.750 0.250 0.500
Al5 0.250 0.500 0.750
Al6 0.500 0.250 0.750
Al7 0.000 0.000 0.000
Ga1 0.697 0.000 0.697
Ga2 0.697 0.697 0.000
Ga3 0.000 0.303 0.303
Ga4 0.303 0.000 0.303
Ga5 0.303 0.303 0.000
Ga6 0.000 0.697 0.697

=====

# Pa2AlGa, relaxed, DFT PBE
# Space-group type = Fm-3m, No. 225
# Formation energy = -2 kJ/mol of formula units
# Offset from the most stable computed form = 0.207 eV per atom
data_Pa2AlGa
_space_group_name_H-M_alt 'P 1'
_space_group_IT_number 1
_cell_length_a 5.034
_cell_length_b 5.034
_cell_length_c 5.034
_cell_angle_alpha 60.00
_cell_angle_beta 60.00
_cell_angle_gamma 60.00
loop_
_space_group_symop_operation_xyz
'x,y,z'
loop_
_atom_site_label
_atom_site_fract_x
_atom_site_fract_y
_atom_site_fract_z
Pa1 0.250 0.250 0.250
Pa2 0.750 0.750 0.750
Al1 0.000 0.000 0.000
Ga1 0.500 0.500 0.500

=====

# PaAlGa4, relaxed, DFT PBE
# Space-group type = C2/m, No. 12
# Formation energy = -13 kJ/mol of formula units
# Offset from the most stable computed form = 0.011 eV per atom
data_PaAlGa4
_space_group_name_H-M_alt 'P 1'
_space_group_IT_number 1
_cell_length_a 4.969
_cell_length_b 5.745
_cell_length_c 5.282
_cell_angle_alpha 57.06
_cell_angle_beta 79.35
_cell_angle_gamma 70.12
loop_
_space_group_symop_operation_xyz
'x,y,z'
loop_
_atom_site_label
_atom_site_fract_x
_atom_site_fract_y
_atom_site_fract_z
Pa1 0.000 0.000 0.000
Al1 0.500 0.500 0.000
Ga1 0.000 0.347 0.305
Ga2 0.500 0.195 0.610
Ga3 0.000 0.653 0.695
Ga4 0.500 0.805 0.390

=====

# PaAlGa4, relaxed, DFT PBE
# Space-group type = F-43m, No. 216
# Formation energy = -19 kJ/mol of formula units
# Offset from the most stable computed form = 0.000 eV per atom
data_PaAlGa4
_space_group_name_H-M_alt 'P 1'
_space_group_IT_number 1
_cell_length_a 5.447
_cell_length_b 5.447
_cell_length_c 5.447
_cell_angle_alpha 60.00
_cell_angle_beta 60.00
_cell_angle_gamma 60.00
loop_
_space_group_symop_operation_xyz
'x,y,z'
loop_
_atom_site_label
_atom_site_fract_x
_atom_site_fract_y
_atom_site_fract_z
Pa1 0.000 0.000 0.000
Al1 0.250 0.250 0.250
Ga1 0.624 0.624 0.127
Ga2 0.624 0.127 0.624
Ga3 0.624 0.624 0.624
Ga4 0.127 0.624 0.624

=====

# PaAl2Ga3, relaxed, DFT PBE
# Space-group type = Cmcm, No. 63
# Formation energy = -47 kJ/mol of formula units
data_PaAl2Ga3
_space_group_name_H-M_alt 'P 1'
_space_group_IT_number 1
_cell_length_a 5.323
_cell_length_b 5.970
_cell_length_c 8.071
_cell_angle_alpha 111.70
_cell_angle_beta 90.00
_cell_angle_gamma 90.00
loop_
_space_group_symop_operation_xyz
'x,y,z'
loop_
_atom_site_label
_atom_site_fract_x
_atom_site_fract_y
_atom_site_fract_z
Pa1 0.750 0.325 0.650
Pa2 0.250 0.675 0.350
Al1 0.000 0.726 0.000
Al2 0.500 0.274 0.000
Al3 0.000 0.274 0.000
Al4 0.500 0.726 0.000
Ga1 0.750 0.849 0.698
Ga2 0.250 0.151 0.302
Ga3 0.750 0.901 0.305
Ga4 0.250 0.099 0.695
Ga5 0.750 0.404 0.305
Ga6 0.250 0.596 0.695

=====

# PaAlGa2, relaxed, DFT PBE
# Space-group type = P4/mmm, No. 123
# Formation energy = -60 kJ/mol of formula units
data_PaAlGa2
_space_group_name_H-M_alt 'P 1'
_space_group_IT_number 1
_cell_length_a 3.411
_cell_length_b 3.411
_cell_length_c 6.667
_cell_angle_alpha 90.00
_cell_angle_beta 90.00
_cell_angle_gamma 90.00
loop_
_space_group_symop_operation_xyz
'x,y,z'
loop_
_atom_site_label
_atom_site_fract_x
_atom_site_fract_y
_atom_site_fract_z
Pa1 0.500 0.500 0.500
Al1 0.500 0.500 0.000
Ga1 0.000 0.000 0.793
Ga2 0.000 0.000 0.207